# PBE-GGA SrLiTePt2, relaxed
# * formation energy without anion corrections: -0.2745 eV/atom
# * energy: -4.038 eV per atom
# * volume: 106 Å³ per cell
# * density of states at the Fermi level: 0.44 states/eV per atom
data_SrLiTePt2
_chemical_formula_sum 'Sr1 Li1 Te1 Pt2'
_cell_length_a 4.6417
_cell_length_b 4.9340
_cell_length_c 4.6417
_cell_angle_alpha 90.00
_cell_angle_beta 90.00
_cell_angle_gamma 90.00
_space_group_name_H-M_alt 'P 1'
_space_group_IT_number 1
_space_group_name_Hall 'P 1'
loop_
_atom_site_label
_atom_site_fract_x
_atom_site_fract_y
_atom_site_fract_z
_atom_site_occupancy
Pt1 0.0000 0.0000 0.5000 1
Pt2 0.5000 0.0000 0.0000 1
Sr1 0.5000 0.5000 0.5000 1
Li1 0.0000 0.0000 0.0000 1
Te1 0.0000 0.5000 0.0000 1

---

# PBE-GGA Pm3AgTe8Pb3, relaxed
# * formation energy without anion corrections: -0.7805 eV/atom
# * energy: -4.338 eV per atom
# * volume: 529 Å³ per cell
data_Pm3AgTe8Pb3
_chemical_formula_sum 'Pm3 Ag1 Te8 Pb3'
_cell_length_a 8.9824
_cell_length_b 8.9797
_cell_length_c 9.1805
_cell_angle_alpha 119.28
_cell_angle_beta 90.00
_cell_angle_gamma 120.01
_space_group_name_H-M_alt 'P 1'
_space_group_IT_number 1
_space_group_name_Hall 'P 1'
loop_
_atom_site_label
_atom_site_fract_x
_atom_site_fract_y
_atom_site_fract_z
_atom_site_occupancy
Te1 0.2525 0.5050 0.2575 1
Te2 0.7475 0.4950 0.7425 1
Te3 0.2435 0.4871 0.7341 1
Te4 0.7561 0.0095 0.2655 1
Te5 0.2439 0.9905 0.7345 1
Te6 0.7565 0.5129 0.2659 1
Te7 0.7466 0.9905 0.7345 1
Te8 0.2534 0.0095 0.2655 1
Pb1 0.0000 0.0000 0.0000 1
Pb2 0.0000 0.5000 0.0000 1
Pb3 0.5000 0.5000 0.0000 1
Pm1 0.5000 0.5000 0.5000 1
Pm2 0.5000 0.0000 0.5000 1
Pm3 0.0000 0.5000 0.5000 1
Ag1 0.0000 0.0000 0.5000 1

---

# PBE-GGA Sm3Ho2Er6Pu, relaxed
# * energy: -5.377 eV per atom
# * volume: 371 Å³ per cell
# * density of states at the Fermi level: 1.92 states/eV per atom
# * formation enthalpy at 0 K: 42 meV per atom
data_Sm3Ho2Er6Pu
_chemical_formula_sum 'Sm3 Ho2 Er6 Pu1'
_cell_length_a 6.1178
_cell_length_b 6.1178
_cell_length_c 11.6379
_cell_angle_alpha 95.03
_cell_angle_beta 95.03
_cell_angle_gamma 120.01
_space_group_name_H-M_alt 'P 1'
_space_group_IT_number 1
_space_group_name_Hall 'P 1'
loop_
_atom_site_label
_atom_site_fract_x
_atom_site_fract_y
_atom_site_fract_z
_atom_site_occupancy
Er1 0.7527 0.7527 0.2458 1
Er2 0.9180 0.5888 0.7543 1
Er3 0.5888 0.9180 0.7543 1
Er4 0.2473 0.2473 0.7542 1
Er5 0.4112 0.0820 0.2457 1
Er6 0.0820 0.4112 0.2457 1
Pu1 0.0000 0.0000 0.0000 1
Sm1 0.5000 0.5000 0.5000 1
Sm2 0.1672 0.8328 0.5000 1
Sm3 0.8328 0.1672 0.5000 1
Ho1 0.3334 0.6666 0.0000 1
Ho2 0.6666 0.3334 0.0000 1

---

# PBE-GGA CuAg2Rh, relaxed
# * energy: -4.079 eV per atom
# * volume: 62 Å³ per cell
# * density of states at the Fermi level: 1.01 states/eV per atom
# * formation enthalpy at 0 K: 208 meV per atom
data_CuAg2Rh
_chemical_formula_sum 'Cu1 Ag2 Rh1'
_cell_length_a 9.3213
_cell_length_b 9.3213
_cell_length_c 9.3213
_cell_angle_alpha 17.27
_cell_angle_beta 17.27
_cell_angle_gamma 17.27
_space_group_name_H-M_alt 'P 1'
_space_group_IT_number 1
_space_group_name_Hall 'P 1'
loop_
_atom_site_label
_atom_site_fract_x
_atom_site_fract_y
_atom_site_fract_z
_atom_site_occupancy
Ag1 0.5027 0.5027 0.5027 1
Ag2 0.9973 0.9973 0.9973 1
Rh1 0.7500 0.7500 0.7500 1
Cu1 0.2500 0.2500 0.2500 1

---

Number 1: density 9.56 g cm⁻³. Number 2: density 6.86 g cm⁻³. Number 3: density 9.07 g cm⁻³. Number 4: density 10.19 g cm⁻³.